Entry from Alexandria: TmFeIrO6 after structural relaxation (PBE+U).

Cell: 5.2880 5.2880 8.7308 Å, 90.00 90.00 120.00°
Positions (direct):
Tm  0.3333  0.6667  0.2500
Tm  0.6667  0.3333  0.7500
Fe  0.0000  0.0000  0.0000
Fe  0.0000  0.0000  0.5000
Ir  0.3333  0.6667  0.7500
Ir  0.6667  0.3333  0.2500
O  0.0358  0.3509  0.6236
O  0.0358  0.6849  0.8764
O  0.3151  0.3509  0.8764
O  0.3151  0.9642  0.6236
O  0.3509  0.0358  0.1236
O  0.3509  0.3151  0.3764
O  0.6491  0.6849  0.6236
O  0.6491  0.9642  0.8764
O  0.6849  0.0358  0.3764
O  0.6849  0.6491  0.1236
O  0.9642  0.3151  0.1236
O  0.9642  0.6491  0.3764

**Energy**: -6.980 eV/atom
**Spin magnetization**: 4.861 Bohr magnetons per cell